Here is a relaxed structure of KTlTc from the Alexandria database. Energies are from PBE-GGA.

Calculated values
Crystal system   trigonal
Polymorph energy (0 for the lowest one)   35 kJ/mol of formula units
Energy of formation from the pure elements   0.970 eV/atom

Cell and atoms, written as POSCAR:
```
KTlTc
1.0
3.1201 0.0000 0.0000
-1.5601 2.7021 0.0000
0.0000 0.0000 8.3298
Tc K Tl
1 1 1
Direct
0.6667 0.3333 0.3544 Tc
0.0000 0.0000 0.0090 K
0.3333 0.6667 0.6366 Tl
```

Here is a relaxed structure of HfC4 from the Alexandria database. Energies are from PBE-GGA.

Calculated values
Crystal system   cubic
Energy of formation from the pure elements   3.522 eV/atom

Cell and atoms, written as POSCAR:
```
HfC4
1.0
-0.5246 4.2668 -0.2970
-3.5874 -0.2760 2.3713
2.3290 0.5359 3.5858
C Hf
4 1
Direct
0.5000 0.0000 0.5000 C
0.0000 0.0000 0.0000 C
0.5000 0.5000 0.0000 C
0.0000 0.5000 0.5000 C
0.5000 0.5000 0.5000 Hf
```

Here is a relaxed structure of Na5AuS3 from the Alexandria database. Energies are from PBE-GGA.

Calculated values
Crystal system   monoclinic
Formation energy (no corrections)   -800 kJ/mol of formula units

Cell and atoms, written as POSCAR:
```
Na5AuS3
1.0
-4.3406 3.7213 -4.1589
-3.1896 -5.8180 4.1326
1.0549 7.8070 5.8846
Na S Au
10 6 2
Direct
0.4156 0.3044 0.0887 Na
0.8862 0.2992 0.0619 Na
0.8888 0.3044 0.5887 Na
0.4130 0.2992 0.5619 Na
0.1138 0.7008 0.9381 Na
0.9142 0.0000 0.2500 Na
0.1112 0.6956 0.4113 Na
0.0858 0.0000 0.7500 Na
0.5844 0.6956 0.9113 Na
0.5870 0.7008 0.4381 Na
0.0000 0.0000 0.5000 S
0.3162 0.6420 0.6604 S
0.0000 0.0000 0.0000 S
0.6838 0.3580 0.3396 S
0.3258 0.6420 0.1604 S
0.6742 0.3580 0.8396 S
0.4931 0.0000 0.2500 Au
0.5069 0.0000 0.7500 Au
```

Here is a relaxed structure of Zn2HgI from the Alexandria database. Energies are from PBE-GGA.

Calculated values
Crystal system   cubic
Formation energy (no corrections)   97 kJ/mol of formula units
Polymorph energy (0 for the lowest one)   70 kJ/mol of formula units

Cell and atoms, written as POSCAR:
```
Zn2HgI
1.0
2.3645 -4.7427 0.3107
2.9770 -1.2099 4.2254
-1.7119 -3.5943 3.5115
I Zn Hg
1 2 1
Direct
0.0000 0.0000 0.0000 I
0.2500 0.2500 0.2500 Zn
0.7500 0.7500 0.7500 Zn
0.5000 0.5000 0.5000 Hg
```

Here is a relaxed structure of La3PmPrNd from the Alexandria database. Energies are from PBE-GGA.

Calculated values
Crystal system   monoclinic
Energy of formation from the pure elements   0.132 eV/atom

Cell and atoms, written as POSCAR:
```
La3PmPrNd
1.0
5.9250 0.0000 0.0000
-2.9625 10.4467 1.7474
0.0000 -1.1926 6.8285
Pr La Pm Nd
2 6 2 2
Direct
0.6471 0.2941 0.0303 Pr
0.3529 0.7059 0.9697 Pr
0.7799 0.5598 0.7346 La
0.8409 0.6817 0.2427 La
0.5176 0.0352 0.7531 La
0.4824 0.9648 0.2469 La
0.2201 0.4402 0.2654 La
0.1591 0.3183 0.7573 La
0.6433 0.2865 0.4814 Pm
0.3567 0.7135 0.5186 Pm
0.9414 0.8828 0.7412 Nd
0.0586 0.1172 0.2588 Nd
```

Here is a relaxed structure of Tl2TcAs from the Alexandria database. Energies are from PBE-GGA.

Calculated values
Crystal system   orthorhombic
Polymorph energy (0 for the lowest one)   252 kJ/mol of formula units
Energy of formation from the pure elements   0.765 eV/atom

Cell and atoms, written as POSCAR:
```
Tl2TcAs
1.0
-1.8591 2.8828 -0.9487
-3.5920 -1.1830 3.4440
2.2842 2.5448 3.2565
Tc Tl As
1 2 1
Direct
0.0000 0.5000 0.5000 Tc
0.0000 0.0000 0.0000 Tl
0.5000 0.5000 0.0000 Tl
0.5000 0.0000 0.5000 As
```

Here is a relaxed structure of NdGa3CuRh from the Alexandria database. Energies are from PBE-GGA.

Calculated values
Crystal system   orthorhombic
Energy of formation from the pure elements   -0.374 eV/atom

Cell and atoms, written as POSCAR:
```
NdGa3CuRh
1.0
6.4146 0.0000 0.0000
0.0000 6.1955 0.0000
0.0000 -3.0977 5.8278
Rh Cu Nd Ga
2 2 2 6
Direct
0.2500 0.3793 0.7586 Rh
0.7500 0.6207 0.2414 Rh
0.7500 0.0329 0.0658 Cu
0.2500 0.9671 0.9342 Cu
0.7500 0.2763 0.5526 Nd
0.2500 0.7237 0.4474 Nd
0.0000 0.2842 0.0000 Ga
0.7500 0.8265 0.6529 Ga
0.5000 0.2842 0.0000 Ga
0.5000 0.7158 0.0000 Ga
0.0000 0.7158 0.0000 Ga
0.2500 0.1735 0.3471 Ga
```

Here is a relaxed structure of Be2TlCd from the Alexandria database. Energies are from PBE-GGA.

Calculated values
Crystal system   monoclinic
Polymorph energy (0 for the lowest one)   16 kJ/mol of formula units
Energy of formation from the pure elements   0.505 eV/atom

Cell and atoms, written as POSCAR:
```
Be2TlCd
1.0
-1.7492 3.4082 0.6073
-3.2416 -1.8643 1.1256
-0.1203 -0.9216 4.8253
Be Cd Tl
2 1 1
Direct
0.0000 0.1864 0.0049 Be
0.5000 0.0596 0.2539 Be
0.0000 0.4852 0.4124 Cd
0.5000 0.7689 0.8288 Tl
```

Here is a relaxed structure of ZrRuW3 from the Alexandria database. Energies are from PBE-GGA.

Calculated values
Crystal system   cubic
Polymorph energy (0 for the lowest one)   637 kJ/mol of formula units
Energy of formation from the pure elements   2.814 eV/atom

Cell and atoms, written as POSCAR:
```
ZrRuW3
1.0
4.7079 0.0000 0.0000
0.0000 4.7079 0.0000
0.0000 0.0000 4.7079
Ru W Zr
1 3 1
Direct
0.5000 0.5000 0.5000 Ru
0.0000 0.0000 0.5000 W
0.5000 0.0000 0.0000 W
0.0000 0.5000 0.0000 W
0.0000 0.0000 0.0000 Zr
```

Here is a relaxed structure of Li3CdPd2 from the Alexandria database. Energies are from PBE-GGA.

Calculated values
Crystal system   orthorhombic
Polymorph energy (0 for the lowest one)   5 kJ/mol of formula units
Energy of formation from the pure elements   -0.384 eV/atom

Cell and atoms, written as POSCAR:
```
Li3CdPd2
1.0
-1.8754 0.1083 2.2424
2.0692 -2.5989 1.8560
4.5313 6.1075 3.4982
Li Cd Pd
3 1 2
Direct
0.2501 0.0000 0.5814 Li
0.7500 0.5000 0.4100 Li
0.7499 0.5000 0.1033 Li
0.2499 0.9999 0.9142 Cd
0.7501 0.5001 0.7357 Pd
0.2500 0.0000 0.2555 Pd
```

Here is a relaxed structure of TbTlIn2I6 from the Alexandria database. Energies are from PBE-GGA.

Calculated values
Crystal system   triclinic
Formation energy (no corrections)   -839 kJ/mol of formula units

Cell and atoms, written as POSCAR:
```
TbTlIn2I6
1.0
8.5807 0.0065 0.0022
4.2959 7.4258 0.0023
4.2937 2.4790 7.5066
I Tl In Tb
6 1 2 1
Direct
0.4193 0.6883 0.7690 I
0.9734 0.5664 0.2434 I
0.6888 0.1224 0.7696 I
0.2167 0.9736 0.2438 I
0.5653 0.2169 0.2439 I
0.1231 0.4195 0.7692 I
0.8176 0.8178 0.5467 Tl
0.0112 0.0114 0.9668 In
0.5207 0.5200 0.4394 In
0.3255 0.3254 0.0234 Tb
```

Here is a relaxed structure of Ca4PuPa3N8 from the Alexandria database. Energies are from PBE-GGA.

Calculated values
Crystal system   trigonal
Formation energy (no corrections)   -2171 kJ/mol of formula units

Cell and atoms, written as POSCAR:
```
Ca4PuPa3N8
1.0
-5.3334 4.4099 1.6081
-4.2952 -5.4986 0.8334
6.1147 0.3593 3.5998
Pa N Pu Ca
3 8 1 4
Direct
0.5000 0.5000 0.0000 Pa
0.0000 0.5000 0.5000 Pa
0.5000 0.5000 0.5000 Pa
0.7550 0.2850 0.0299 N
0.7385 0.7156 0.4771 N
0.2748 0.2850 0.0299 N
0.2449 0.7150 0.4899 N
0.7551 0.2850 0.5101 N
0.7252 0.7150 0.9701 N
0.2450 0.7150 0.9701 N
0.2615 0.2844 0.5229 N
0.0000 0.5000 0.0000 Pu
0.0000 0.0000 0.0000 Ca
0.5000 0.0000 0.0000 Ca
0.5000 0.0000 0.5000 Ca
0.0000 0.0000 0.5000 Ca
```

| no. | ρ (g/cm3) | E (eV per cell) | D(E_F) (states/eV per atom) |
| --- | --- | --- | --- |
| 1 | 8.07 | -10.92 | 0.952 |
| 2 | 4.70 | -29.24 | 0.552 |
| 3 | 2.99 | -61.10 | 0.000 |
| 4 | 7.19 | -3.40 | 0.777 |
| 5 | 6.47 | -56.57 | 1.397 |
| 6 | 11.24 | -16.69 | 0.802 |
| 7 | 7.45 | -55.08 | 0.418 |
| 8 | 8.12 | -8.71 | 0.475 |
| 9 | 11.84 | -42.62 | 1.260 |
| 10 | 6.17 | -19.35 | 0.195 |
| 11 | 4.70 | -30.47 | 0.000 |
| 12 | 8.05 | -139.93 | 0.835 |